Record 1
Compound: CdOs5
Source: Alexandria via LeMat-Bulk
Functional: PBE-GGA
Structure: optimized geometry

Properties
The calculation puts the energy relative to the lowest polymorph listed for this composition at 0 meV/atom. The crystal system is monoclinic. Its theoretical density is 19.47 Mg/m³.

Unit cell a=5.3143 b=5.3143 c=6.5819 alpha=75.47 beta=75.47 gamma=30.36
Fractional positions:
1 Os 0.6763 0.6763 0.6571
2 Os 0.6199 0.6199 0.2909
3 Os 0.2694 0.2694 0.9322
4 Os 0.9448 0.9448 0.6041
5 Cd 0.9945 0.9945 0.0042
6 Os 0.3283 0.3283 0.3449

---

Record 2
Compound: K5Ba
Source: Alexandria via LeMat-Bulk
Functional: PBE-GGA
Structure: optimized geometry

Properties
The calculation puts the energy relative to the lowest polymorph listed for this composition at 0 meV/atom. The crystal system is hexagonal. Its theoretical density is 1.31 Mg/m³.

Unit cell a=4.5929 b=4.5929 c=23.0624 alpha=90.00 beta=90.00 gamma=120.00
Fractional positions:
1 K 0.0000 0.0000 0.3335
2 K 0.6667 0.3333 0.8350
3 K 0.6667 0.3333 0.5000
4 Ba 0.0000 0.0000 0.0000
5 K 0.6667 0.3333 0.1650
6 K 0.0000 0.0000 0.6665

---

Record 3
Compound: Zr2Al3Cr
Source: Alexandria via LeMat-Bulk
Functional: PBE-GGA
Structure: optimized geometry

Properties
The crystal system is trigonal. Its theoretical density is 4.99 Mg/m³.

Unit cell a=5.2820 b=5.2820 c=5.2820 alpha=60.32 beta=60.32 gamma=60.32
Site moments in Bohr magnetons follow the coordinates.
Fractional positions:
1 Al 0.5000 0.0000 0.0000  -0.01
2 Al 0.0000 0.0000 0.5000  -0.01
3 Al 0.0000 0.5000 0.0000  -0.01
4 Zr 0.3719 0.3719 0.3719  -0.15
5 Zr 0.6281 0.6281 0.6281  -0.15
6 Cr 0.0000 0.0000 0.0000  2.18

---

no.,DOS at the Fermi energy (states/eV per cell),magnetic moment (Bohr magnetons per cell),formation energy from the elements (meV/atom)
1,5.3,0.00,336
2,5.8,0.00,32
3,6.1,1.88,-377